Entry 1:
Here is a relaxed Mg2FeW crystal from Alexandria. Energies are from PBE.

size of the total moment	2.07	μB per cell
D(E_F)	2.34	states/eV/f.u.
calculated formation energy	471	meV/atom
crystal system	orthorhombic
volume	64.6	Å³/cell

a b c (Å): 2.6756 4.4607 5.4128
angles (deg): 90.00 90.00 90.00
Fractional coordinates of all 4 atoms:
Mg (0.0000, 0.0000, 0.2471)
Mg (0.0000, 0.0000, 0.7529)
Fe (0.5000, 0.5000, 0.0000)
W (0.5000, 0.5000, 0.5000)

=====

Entry 2:
Here is a relaxed CaMgAu2 crystal from Alexandria. Energies are from PBE.

size of the total moment	0.00	μB per cell
D(E_F)	1.82	states/eV/f.u.
calculated formation energy	-688	meV/atom
crystal system	tetragonal
volume	84.6	Å³/cell

a b c (Å): 3.4952 3.4952 6.9219
angles (deg): 90.00 90.00 90.00
Fractional coordinates of all 4 atoms:
Ca (0.0000, 0.0000, 0.0000)
Mg (0.0000, 0.0000, 0.5000)
Au (0.5000, 0.5000, 0.2828)
Au (0.5000, 0.5000, 0.7172)

=====

Entry 3:
Here is a relaxed LaPrNd4Dy2 crystal from Alexandria. Energies are from PBE.

size of the total moment	0.00	μB per cell
D(E_F)	12.51	states/eV/f.u.
calculated formation energy	18	meV/atom
crystal system	monoclinic
volume	277.6	Å³/cell

a b c (Å): 6.3074 3.6701 12.1817
angles (deg): 90.00 100.14 90.00
Fractional coordinates of all 8 atoms:
La (0.0000, 0.0000, 0.0000)
Pr (0.0000, 0.5000, 0.5000)
Nd (0.2518, 0.0000, 0.7509)
Nd (0.2518, 0.5000, 0.2523)
Nd (0.7482, 0.0000, 0.2491)
Nd (0.7482, 0.5000, 0.7477)
Dy (0.5000, 0.0000, 0.5000)
Dy (0.5000, 0.5000, 0.0000)

=====

Entry 4:
Here is a relaxed Mn3Cu4 crystal from Alexandria. Energies are from PBE.

size of the total moment	2.31	μB per cell
D(E_F)	8.06	states/eV/f.u.
calculated formation energy	325	meV/atom
crystal system	hexagonal
volume	83.8	Å³/cell

a b c (Å): 4.5367 4.5367 4.7003
angles (deg): 90.00 90.00 120.00
Fractional coordinates of all 7 atoms:
Mn (0.0000, 0.5000, 0.0000)
Mn (0.5000, 0.0000, 0.0000)
Mn (0.5000, 0.5000, 0.0000)
Cu (0.0000, 0.0000, 0.2557)
Cu (0.0000, 0.0000, 0.7443)
Cu (0.3333, 0.6667, 0.5000)
Cu (0.6667, 0.3333, 0.5000)

=====

Please write out number 3 again, unchanged.
Here is a relaxed LaPrNd4Dy2 crystal from Alexandria. Energies are from PBE.

size of the total moment	0.00	μB per cell
D(E_F)	12.51	states/eV/f.u.
calculated formation energy	18	meV/atom
crystal system	monoclinic
volume	277.6	Å³/cell

a b c (Å): 6.3074 3.6701 12.1817
angles (deg): 90.00 100.14 90.00
Fractional coordinates of all 8 atoms:
La (0.0000, 0.0000, 0.0000)
Pr (0.0000, 0.5000, 0.5000)
Nd (0.2518, 0.0000, 0.7509)
Nd (0.2518, 0.5000, 0.2523)
Nd (0.7482, 0.0000, 0.2491)
Nd (0.7482, 0.5000, 0.7477)
Dy (0.5000, 0.0000, 0.5000)
Dy (0.5000, 0.5000, 0.0000)

=====

Copy entry 4 word for word.
Here is a relaxed Mn3Cu4 crystal from Alexandria. Energies are from PBE.

size of the total moment	2.31	μB per cell
D(E_F)	8.06	states/eV/f.u.
calculated formation energy	325	meV/atom
crystal system	hexagonal
volume	83.8	Å³/cell

a b c (Å): 4.5367 4.5367 4.7003
angles (deg): 90.00 90.00 120.00
Fractional coordinates of all 7 atoms:
Mn (0.0000, 0.5000, 0.0000)
Mn (0.5000, 0.0000, 0.0000)
Mn (0.5000, 0.5000, 0.0000)
Cu (0.0000, 0.0000, 0.2557)
Cu (0.0000, 0.0000, 0.7443)
Cu (0.3333, 0.6667, 0.5000)
Cu (0.6667, 0.3333, 0.5000)